1.
The following is a PBE-GGA calculation of a relaxed Li6RhPb2 crystal, from Alexandria via LeMat-Bulk.

Total moment = 0.2 μB/cell
ρ = 5.8 Mg/m³
DFT formation energy = -0.144 eV/atom

Cell: 3.0387 7.7887 8.3386 Å, 117.84 110.86 90.00°
With the nearest neighbours (Å) after each atom.
Atoms (fractional coordinates):
Pb  0.3326  0.6665  0.3329  2 Pb 3.04, 12 Li 3.06-3.08
Pb  0.6674  0.3335  0.6671  2 Pb 3.04, 12 Li 3.06-3.08
Rh  0.0000  0.0000  0.0000  12 Li 2.87-2.90, 2 Rh 3.04
Li  0.1819  0.0001  0.6849  2 Li 2.45-2.46
Li  0.5000  0.3149  0.0000  2 Li 2.45
Li  0.5000  0.6851  0.0000  2 Li 2.45
Li  0.8181  0.9999  0.3151  2 Li 2.45-2.46
Li  0.1819  0.6848  0.6849  2 Li 2.45-2.46
Li  0.8181  0.3152  0.3151  2 Li 2.45-2.46



2.
The following is a PBE-GGA calculation of a relaxed BaEu3Tl crystal, from Alexandria via LeMat-Bulk.

Total moment = 22.5 μB/cell
ρ = 5.3 Mg/m³
DFT formation energy = -0.007 eV/atom

Cell: 6.3177 6.3177 6.3177 Å, 90.00 90.00 90.00°
With the nearest neighbours (Å) after each atom.
Atoms (fractional coordinates):
Eu  0.0000  0.5000  0.0000  2 Tl 3.16
Eu  0.0000  0.0000  0.5000  2 Tl 3.16
Eu  0.5000  0.0000  0.0000  2 Tl 3.16
Tl  0.0000  0.0000  0.0000  6 Eu 3.16
Ba  0.5000  0.5000  0.5000  12 Eu 4.47



3.
The following is a PBE-GGA calculation of a relaxed YMg2Cu crystal, from Alexandria via LeMat-Bulk.

Total moment = 0.0 μB/cell
ρ = 3.8 Mg/m³
DFT formation energy = -0.136 eV/atom

Cell: 4.1898 3.8321 11.0896 Å, 90.00 90.00 90.00°
With the nearest neighbours (Å) after each atom.
Atoms (fractional coordinates):
Mg  0.7500  0.7500  0.9970  4 Cu 2.75-2.83, 4 Mg 2.84
Mg  0.2500  0.7500  0.5704  1 Cu 2.83
Mg  0.2500  0.2500  0.0030  4 Cu 2.75-2.83, 4 Mg 2.84
Mg  0.7500  0.2500  0.4296  1 Cu 2.83
Y  0.7500  0.2500  0.7461  4 Cu 2.97
Y  0.2500  0.7500  0.2539  4 Cu 2.97
Cu  0.2500  0.7500  0.8252  5 Mg 2.75-2.83, 4 Y 2.97
Cu  0.7500  0.2500  0.1748  5 Mg 2.75-2.83, 4 Y 2.97